Entry 1:
Here is a relaxed structure of BeMo2Rh from Alexandria via LeMat-Bulk. Energies are from GGA-PBE.

Calculated values
E_form = 0.4251 eV/atom
Mass density = 8.5 g/cm³

Cell: 3.597 3.597 18.435 Å, 90.00 90.00 90.00°
Space group I-42d (No. 122)
One atom of each set of equivalent atoms:
Be  0.000  0.000  0.000 x4
Mo  0.228  0.250  0.125 x8
Rh  0.000  0.000  0.500 x4

***

Entry 2:
Here is a relaxed structure of Mg3SnS from Alexandria via LeMat-Bulk. Energies are from GGA-PBE.

Calculated values
Mass density = 3.3 g/cm³
Offset from the most stable computed form = 0 meV per atom
E_form (uncorrected) = -0.346 eV per atom

Cell: 4.843 4.843 4.843 Å, 90.00 90.00 90.00°
Space group Pm-3m (No. 221)
One atom of each set of equivalent atoms:
Mg  0.000  0.000  0.500 x3
Sn  0.500  0.500  0.500 x1
S  0.000  0.000  0.000 x1

***

Entry 3:
Here is a relaxed structure of BaCdInAu from Alexandria via LeMat-Bulk. Energies are from GGA-PBE.

Calculated values
E_form = -0.3762 eV/atom
Mass density = 7.6 g/cm³

Cell: 4.8248 4.8248 18.2448 Å, 90.00 90.00 120.00°
Space group R3m (No. 160, hexagonal axes)
One atom of each set of equivalent atoms:
Ba  0.0000  0.0000  0.0000 x3
Cd  0.0000  0.0000  0.2068 x3
In  0.0000  0.0000  0.7931 x3
Au  0.0000  0.0000  0.5088 x3

***

Entry 4:
Here is a relaxed structure of Co4RhCl from Alexandria via LeMat-Bulk. Energies are from GGA-PBE.

Calculated values
Mass density = 7.8 g/cm³
E_form (uncorrected) = 0.582 eV per atom

Cell: 6.818 6.818 6.818 Å, 90.00 90.00 90.00°
Space group F-43m (No. 216)
One atom of each set of equivalent atoms:
Co  0.124  0.124  0.124 x16
Rh  0.250  0.250  0.750 x4
Cl  0.000  0.000  0.500 x4

***

Entry 5:
Here is a relaxed structure of RbBa2Ga from Alexandria via LeMat-Bulk. Energies are from GGA-PBE.

Calculated values
E_form = 0.0822 eV/atom
Mass density = 3.1 g/cm³

Cell: 10.615 10.615 8.194 Å, 90.00 90.00 90.00°
Space group I-42d (No. 122)
One atom of each set of equivalent atoms:
Rb  0.000  0.000  0.000 x4
Ba  0.155  0.250  0.625 x8
Ga  0.000  0.000  0.500 x4

***

Entry 6:
Here is a relaxed structure of Ac2TlSn3Ir4 from Alexandria via LeMat-Bulk. Energies are from GGA-PBE.

Calculated values
E_form = -0.4595 eV/atom
Mass density = 12.7 g/cm³

Cell: 4.548 4.548 11.248 Å, 90.00 90.00 90.00°
Space group P-4m2 (No. 115)
One atom of each set of equivalent atoms:
Ac  0.000  0.500  0.248 x2
Tl  0.000  0.000  0.500 x1
Sn  0.000  0.500  0.874 x2
Sn  0.500  0.500  0.500 x1
Ir  0.000  0.000  0.000 x1
Ir  0.000  0.500  0.640 x2
Ir  0.500  0.500  0.000 x1

***

Entry 7:
Here is a relaxed structure of MgCdSnGe from Alexandria via LeMat-Bulk. Energies are from GGA-PBE.

Calculated values
E_form = 0.0766 eV/atom
Mass density = 5.8 g/cm³

Cell: 7.197 7.197 7.197 Å, 90.00 90.00 90.00°
Space group F-43m (No. 216)
One atom of each set of equivalent atoms:
Mg  0.000  0.000  0.000 x4
Cd  0.250  0.250  0.250 x4
Sn  0.000  0.000  0.500 x4
Ge  0.250  0.250  0.750 x4

***

Entry 8:
Here is a relaxed structure of Nd6BiP4 from Alexandria via LeMat-Bulk. Energies are from GGA-PBE.

Calculated values
E_form = -1.3432 eV/atom
Mass density = 6.4 g/cm³

Cell: 4.238 13.744 21.314 Å, 90.00 90.00 90.00°
Space group Cmcm (No. 63)
One atom of each set of equivalent atoms:
Nd  0.000  0.000  0.000 x4
Nd  0.000  0.164  0.250 x4
Nd  0.000  0.272  0.580 x8
Nd  0.000  0.461  0.156 x8
Bi  0.000  0.161  0.750 x4
P  0.000  0.093  0.125 x8
P  0.000  0.363  0.041 x8

***

Number 1: total magnetic moment 0.0 μB/f.u.. Number 2: total magnetic moment 0.0 μB/f.u.. Number 3: total magnetic moment 0.0 μB/f.u.. Number 4: total magnetic moment 8.1 μB/f.u.. Number 5: total magnetic moment 0.0 μB/f.u.. Number 6: total magnetic moment 0.0 μB/f.u.. Number 7: total magnetic moment 0.0 μB/f.u.. Number 8: total magnetic moment 0.7 μB/f.u..